[1]
DFT (GGA-PBE) results for a geometry-optimized CeErNbN3 structure.

abc: 5.7748 3.3689 8.6415
angles: 90.00 102.90 90.00
Positions (direct):
1 Ce 0.1429 0.2500 0.1886
2 Ce 0.8571 0.7500 0.8114
3 Er 0.2700 0.7500 0.5514
4 Er 0.7300 0.2500 0.4486
5 Nb 0.3747 0.2500 0.8697
6 Nb 0.6253 0.7500 0.1303
7 N 0.0596 0.2500 0.6754
8 N 0.2505 0.7500 0.9863
9 N 0.4517 0.7500 0.3305
10 N 0.5483 0.2500 0.6695
11 N 0.7495 0.2500 0.0137
12 N 0.9404 0.7500 0.3246

Results
Uncorrected formation energy   -1.46 eV/atom
Final energy   -9.053 eV/atom
Calculated density   8.96 g/cm3
Symmetry   P2_1/m
Size of the total moment   0.000 Bohr magnetons per cell

---

[2]
DFT (GGA-PBE) results for a geometry-optimized CeNdEr2N4 structure.

abc: 6.0864 3.5183 6.0884
angles: 90.00 109.28 90.00
Positions (direct):
1 Ce 0.0000 0.0000 0.0000
2 Nd 0.5000 0.5000 0.0000
3 Er 0.0000 0.5000 0.5000
4 Er 0.5000 0.0000 0.5000
5 N 0.2383 0.0000 0.7405
6 N 0.2468 0.5000 0.2579
7 N 0.7532 0.5000 0.7421
8 N 0.7617 0.0000 0.2595

Results
Uncorrected formation energy   -1.59 eV/atom
Final energy   -8.227 eV/atom
Calculated density   9.11 g/cm3
Symmetry   P2/m
Size of the total moment   0.199 Bohr magnetons per cell

---

[3]
DFT (GGA-PBE) results for a geometry-optimized Ce2ErNpN4 structure.

abc: 6.0300 3.4985 6.0927
angles: 90.00 109.19 90.00
Positions (direct):
1 Ce 0.0000 0.0000 0.0000
2 Ce 0.5000 0.5000 0.0000
3 Er 0.0000 0.5000 0.5000
4 Np 0.5000 0.0000 0.5000
5 N 0.2536 0.0000 0.7331
6 N 0.2601 0.5000 0.2699
7 N 0.7399 0.5000 0.7301
8 N 0.7464 0.0000 0.2669

Results
Uncorrected formation energy   -1.46 eV/atom
Final energy   -9.295 eV/atom
Calculated density   10.13 g/cm3
Symmetry   P2/m
Size of the total moment   4.058 Bohr magnetons per cell

---

[4]
DFT (GGA-PBE) results for a geometry-optimized Ce3Er2NpN6 structure.

abc: 6.0342 6.0342 6.0984
angles: 99.51 99.51 119.99
Positions (direct):
1 Ce 0.0000 0.0000 0.0000
2 Ce 0.3319 0.6681 0.0000
3 Ce 0.6681 0.3319 0.0000
4 Er 0.1665 0.8335 0.5000
5 Er 0.8335 0.1665 0.5000
6 Np 0.5000 0.5000 0.5000
7 N 0.1004 0.4226 0.2678
8 N 0.2558 0.2558 0.7339
9 N 0.4226 0.1004 0.2678
10 N 0.5774 0.8996 0.7322
11 N 0.7442 0.7442 0.2661
12 N 0.8996 0.5774 0.7322

Results
Uncorrected formation energy   -1.51 eV/atom
Final energy   -8.998 eV/atom
Calculated density   9.84 g/cm3
Symmetry   C2/m
Size of the total moment   3.949 Bohr magnetons per cell

---

[5]
DFT (GGA-PBE) results for a geometry-optimized CeEr2NpN4 structure.

abc: 5.9979 3.4619 6.0279
angles: 90.00 109.35 90.00
Positions (direct):
1 Ce 0.0000 0.0000 0.0000
2 Er 0.0000 0.5000 0.5000
3 Er 0.5000 0.0000 0.5000
4 Np 0.5000 0.5000 0.0000
5 N 0.2584 0.0000 0.7508
6 N 0.2593 0.5000 0.2519
7 N 0.7407 0.5000 0.7481
8 N 0.7416 0.0000 0.2492

Results
Uncorrected formation energy   -1.51 eV/atom
Final energy   -9.176 eV/atom
Calculated density   10.79 g/cm3
Symmetry   P2/m
Size of the total moment   3.703 Bohr magnetons per cell

---

[6]
DFT (GGA-PBE) results for a geometry-optimized CeEr2OsN4 structure.

abc: 6.0511 6.0511 11.4863
angles: 90.00 90.00 147.57
Positions (direct):
1 Ce 0.1157 0.8843 0.7500
2 Ce 0.8843 0.1157 0.2500
3 Er 0.3696 0.6304 0.5438
4 Er 0.3696 0.6304 0.9562
5 Er 0.6304 0.3696 0.0438
6 Er 0.6304 0.3696 0.4562
7 Os 0.1425 0.8575 0.2500
8 Os 0.8575 0.1425 0.7500
9 N 0.0000 0.0000 0.0000
10 N 0.0000 0.0000 0.5000
11 N 0.2703 0.7297 0.1291
12 N 0.2703 0.7297 0.3709
13 N 0.4544 0.5456 0.7500
14 N 0.5456 0.4544 0.2500
15 N 0.7297 0.2703 0.6291
16 N 0.7297 0.2703 0.8709

Results
Uncorrected formation energy   -1.04 eV/atom
Final energy   -8.488 eV/atom
Calculated density   10.61 g/cm3
Symmetry   Cmcm
Size of the total moment   0.000 Bohr magnetons per cell

---

[7]
DFT (GGA-PBE) results for a geometry-optimized Ce2ErPN5 structure.

abc: 6.4822 6.4822 5.6104
angles: 90.00 90.00 90.00
Positions (direct):
1 Ce 0.1775 0.3225 0.0000
2 Ce 0.3225 0.8225 0.0000
3 Ce 0.6775 0.1775 0.0000
4 Ce 0.8225 0.6775 0.0000
5 Er 0.0000 0.0000 0.5000
6 Er 0.5000 0.5000 0.5000
7 P 0.0000 0.5000 0.5000
8 P 0.5000 0.0000 0.5000
9 N 0.0000 0.0000 0.0000
10 N 0.1356 0.6356 0.2844
11 N 0.1356 0.6356 0.7156
12 N 0.3644 0.1356 0.2844
13 N 0.3644 0.1356 0.7156
14 N 0.5000 0.5000 0.0000
15 N 0.6356 0.8644 0.2844
16 N 0.6356 0.8644 0.7156
17 N 0.8644 0.3644 0.2844
18 N 0.8644 0.3644 0.7156

Results
Uncorrected formation energy   -0.94 eV/atom
Final energy   -7.992 eV/atom
Calculated density   7.73 g/cm3
Symmetry   P4/mbm
Size of the total moment   0.000 Bohr magnetons per cell

---

[8]
DFT (GGA-PBE) results for a geometry-optimized Ce2ErPaN4 structure.

abc: 6.0427 3.5153 6.1366
angles: 90.00 109.11 90.00
Positions (direct):
1 Ce 0.0000 0.0000 0.0000
2 Ce 0.5000 0.5000 0.0000
3 Er 0.0000 0.5000 0.5000
4 Pa 0.5000 0.0000 0.5000
5 N 0.2525 0.0000 0.7314
6 N 0.2615 0.5000 0.2733
7 N 0.7385 0.5000 0.7267
8 N 0.7475 0.0000 0.2686

Results
Uncorrected formation energy   -1.62 eV/atom
Final energy   -9.024 eV/atom
Calculated density   9.90 g/cm3
Symmetry   P2/m
Size of the total moment   0.225 Bohr magnetons per cell

---

[9]
DFT (GGA-PBE) results for a geometry-optimized CeErPaN3 structure.

abc: 6.0368 3.4779 9.0737
angles: 90.00 102.06 90.00
Positions (direct):
1 Ce 0.1454 0.2500 0.1883
2 Ce 0.8546 0.7500 0.8117
3 Er 0.2633 0.7500 0.5407
4 Er 0.7367 0.2500 0.4593
5 Pa 0.3666 0.2500 0.8524
6 Pa 0.6334 0.7500 0.1476
7 N 0.0485 0.2500 0.6667
8 N 0.2348 0.7500 0.9944
9 N 0.4614 0.7500 0.3433
10 N 0.5386 0.2500 0.6567
11 N 0.7652 0.2500 0.0056
12 N 0.9515 0.7500 0.3333

Results
Uncorrected formation energy   -1.43 eV/atom
Final energy   -8.928 eV/atom
Calculated density   10.35 g/cm3
Symmetry   P2_1/m
Size of the total moment   1.072 Bohr magnetons per cell

---

[10]
DFT (GGA-PBE) results for a geometry-optimized Ce3Pm2ErN6 structure.

abc: 6.1686 6.1686 6.1512
angles: 99.62 99.62 119.99
Positions (direct):
1 Ce 0.0000 0.0000 0.0000
2 Ce 0.3339 0.6661 0.0000
3 Ce 0.6661 0.3339 0.0000
4 Pm 0.1667 0.8333 0.5000
5 Pm 0.8333 0.1667 0.5000
6 Er 0.5000 0.5000 0.5000
7 N 0.0919 0.4148 0.2444
8 N 0.2626 0.2626 0.7569
9 N 0.4148 0.0919 0.2444
10 N 0.5852 0.9081 0.7556
11 N 0.7374 0.7374 0.2431
12 N 0.9081 0.5852 0.7556

Results
Uncorrected formation energy   -1.53 eV/atom
Final energy   -8.345 eV/atom
Calculated density   8.36 g/cm3
Symmetry   C2/m
Size of the total moment   0.305 Bohr magnetons per cell

---

[11]
DFT (GGA-PBE) results for a geometry-optimized CeEr2PtN4 structure.

abc: 6.0392 6.0392 11.6399
angles: 90.00 90.00 147.36
Positions (direct):
1 Ce 0.1173 0.8827 0.7500
2 Ce 0.8827 0.1173 0.2500
3 Er 0.3721 0.6279 0.5477
4 Er 0.3721 0.6279 0.9523
5 Er 0.6279 0.3721 0.0477
6 Er 0.6279 0.3721 0.4523
7 Pt 0.1448 0.8552 0.2500
8 Pt 0.8552 0.1448 0.7500
9 N 0.0000 0.0000 0.0000
10 N 0.0000 0.0000 0.5000
11 N 0.2791 0.7209 0.1259
12 N 0.2791 0.7209 0.3741
13 N 0.4631 0.5369 0.7500
14 N 0.5369 0.4631 0.2500
15 N 0.7209 0.2791 0.6259
16 N 0.7209 0.2791 0.8741

Results
Uncorrected formation energy   -1.00 eV/atom
Final energy   -7.804 eV/atom
Calculated density   10.53 g/cm3
Symmetry   Cmcm
Size of the total moment   0.000 Bohr magnetons per cell

---

[12]
DFT (GGA-PBE) results for a geometry-optimized CeErPuN3 structure.

abc: 6.9872 3.5839 8.5214
angles: 90.00 97.79 90.00
Positions (direct):
1 Ce 0.1631 0.2500 0.1421
2 Ce 0.8369 0.7500 0.8579
3 Er 0.3619 0.7500 0.8500
4 Er 0.6381 0.2500 0.1500
5 Pu 0.0524 0.2500 0.5824
6 Pu 0.9476 0.7500 0.4176
7 N 0.1075 0.2500 0.8583
8 N 0.2312 0.7500 0.5869
9 N 0.3874 0.7500 0.1246
10 N 0.6126 0.2500 0.8754
11 N 0.7688 0.2500 0.4131
12 N 0.8925 0.7500 0.1417

Results
Uncorrected formation energy   -1.02 eV/atom
Final energy   -9.324 eV/atom
Calculated density   9.32 g/cm3
Symmetry   P2_1/m
Size of the total moment   1.332 Bohr magnetons per cell

---

[13]
DFT (GGA-PBE) results for a geometry-optimized CeErPu2N4 structure.

abc: 6.0064 3.4973 6.0714
angles: 90.00 109.52 90.00
Positions (direct):
1 Ce 0.0000 0.0000 0.0000
2 Er 0.0000 0.5000 0.5000
3 Pu 0.5000 0.0000 0.5000
4 Pu 0.5000 0.5000 0.0000
5 N 0.2562 0.0000 0.7460
6 N 0.2585 0.5000 0.2606
7 N 0.7415 0.5000 0.7394
8 N 0.7438 0.0000 0.2540

Results
Uncorrected formation energy   -1.44 eV/atom
Final energy   -10.494 eV/atom
Calculated density   11.76 g/cm3
Symmetry   P2/m
Size of the total moment   10.039 Bohr magnetons per cell

---

[14]
DFT (GGA-PBE) results for a geometry-optimized Ce2ErReN5 structure.

abc: 7.4259 7.4259 7.4259
angles: 127.48 127.48 77.47
Positions (direct):
1 Ce 0.1717 0.6717 0.8435
2 Ce 0.3283 0.1717 0.5000
3 Ce 0.6717 0.8283 0.5000
4 Ce 0.8283 0.3283 0.1565
5 Er 0.2500 0.2500 0.0000
6 Er 0.7500 0.7500 0.0000
7 Re 0.2500 0.7500 0.5000
8 Re 0.7500 0.2500 0.5000
9 N 0.0000 0.0000 0.0000
10 N 0.0094 0.1992 0.5000
11 N 0.1992 0.6992 0.1898
12 N 0.3008 0.4906 0.5000
13 N 0.4906 0.9906 0.1898
14 N 0.5000 0.5000 0.0000
15 N 0.5094 0.0094 0.8102
16 N 0.6992 0.5094 0.5000
17 N 0.8008 0.3008 0.8102
18 N 0.9906 0.8008 0.5000

Results
Uncorrected formation energy   -1.00 eV/atom
Final energy   -8.835 eV/atom
Calculated density   9.34 g/cm3
Symmetry   I4/mcm
Size of the total moment   0.001 Bohr magnetons per cell

---

[15]
DFT (GGA-PBE) results for a geometry-optimized Ce2ErSbN5 structure.

abc: 7.1957 7.1957 10.6528
angles: 90.00 90.00 152.04
Positions (direct):
1 Ce 0.1141 0.8859 0.5000
2 Ce 0.1432 0.8568 0.0867
3 Ce 0.8568 0.1432 0.5867
4 Ce 0.8859 0.1141 0.0000
5 Er 0.2203 0.7797 0.8067
6 Er 0.7797 0.2203 0.3067
7 Sb 0.4760 0.5240 0.2688
8 Sb 0.5240 0.4760 0.7688
9 N 0.0544 0.9456 0.8688
10 N 0.2794 0.7206 0.4699
11 N 0.3230 0.6770 0.1715
12 N 0.3787 0.6213 0.8189
13 N 0.4868 0.5132 0.5836
14 N 0.5132 0.4868 0.0836
15 N 0.6213 0.3787 0.3189
16 N 0.6770 0.3230 0.6715
17 N 0.7206 0.2794 0.9699
18 N 0.9456 0.0544 0.3688

Results
Uncorrected formation energy   -0.87 eV/atom
Final energy   -7.783 eV/atom
Calculated density   8.21 g/cm3
Symmetry   Cmc2_1
Size of the total moment   1.959 Bohr magnetons per cell

---

[16]
DFT (GGA-PBE) results for a geometry-optimized CeSm2ErN4 structure.

abc: 6.1128 3.5437 6.1281
angles: 90.00 109.29 90.00
Positions (direct):
1 Ce 0.0000 0.0000 0.0000
2 Sm 0.0000 0.5000 0.5000
3 Sm 0.5000 0.0000 0.5000
4 Er 0.5000 0.5000 0.0000
5 N 0.2474 0.5000 0.2390
6 N 0.2527 0.0000 0.7623
7 N 0.7473 0.0000 0.2377
8 N 0.7526 0.5000 0.7610

Results
Uncorrected formation energy   -1.56 eV/atom
Final energy   -8.219 eV/atom
Calculated density   8.80 g/cm3
Symmetry   P2/m
Size of the total moment   0.000 Bohr magnetons per cell

---

[17]
DFT (GGA-PBE) results for a geometry-optimized Ce2SmErN4 structure.

abc: 6.1227 3.5378 6.1336
angles: 90.00 109.47 90.00
Positions (direct):
1 Ce 0.0000 0.0000 0.0000
2 Ce 0.0000 0.5000 0.5000
3 Sm 0.5000 0.0000 0.5000
4 Er 0.5000 0.5000 0.0000
5 N 0.2457 0.5000 0.2419
6 N 0.2508 0.0000 0.7566
7 N 0.7492 0.0000 0.2434
8 N 0.7543 0.5000 0.7581

Results
Uncorrected formation energy   -1.56 eV/atom
Final energy   -8.364 eV/atom
Calculated density   8.67 g/cm3
Symmetry   P2/m
Size of the total moment   0.476 Bohr magnetons per cell

---

[18]
DFT (GGA-PBE) results for a geometry-optimized Ce3SmEr2N6 structure.

abc: 6.1061 6.1061 6.1020
angles: 99.60 99.60 119.99
Positions (direct):
1 Ce 0.0000 0.0000 0.0000
2 Ce 0.3333 0.6667 0.0000
3 Ce 0.6667 0.3333 0.0000
4 Sm 0.5000 0.5000 0.5000
5 Er 0.1667 0.8333 0.5000
6 Er 0.8333 0.1667 0.5000
7 N 0.0743 0.4168 0.2504
8 N 0.2400 0.2400 0.7480
9 N 0.4168 0.0743 0.2504
10 N 0.5832 0.9257 0.7496
11 N 0.7600 0.7600 0.2520
12 N 0.9257 0.5832 0.7496

Results
Uncorrected formation energy   -1.58 eV/atom
Final energy   -8.378 eV/atom
Calculated density   8.84 g/cm3
Symmetry   C2/m
Size of the total moment   0.705 Bohr magnetons per cell

---

[19]
DFT (GGA-PBE) results for a geometry-optimized CeSmEr2N4 structure.

abc: 6.0565 3.5031 6.0582
angles: 90.00 109.29 90.00
Positions (direct):
1 Ce 0.0000 0.0000 0.0000
2 Sm 0.5000 0.5000 0.0000
3 Er 0.0000 0.5000 0.5000
4 Er 0.5000 0.0000 0.5000
5 N 0.2417 0.0000 0.7433
6 N 0.2483 0.5000 0.2564
7 N 0.7517 0.5000 0.7436
8 N 0.7583 0.0000 0.2567

Results
Uncorrected formation energy   -1.63 eV/atom
Final energy   -8.260 eV/atom
Calculated density   9.32 g/cm3
Symmetry   P2/m
Size of the total moment   0.180 Bohr magnetons per cell

---

[20]
DFT (GGA-PBE) results for a geometry-optimized Ce3Sm2ErN6 structure.

abc: 6.1532 6.1532 6.1401
angles: 99.62 99.62 119.99
Positions (direct):
1 Ce 0.0000 0.0000 0.0000
2 Ce 0.3337 0.6663 0.0000
3 Ce 0.6663 0.3337 0.0000
4 Sm 0.1667 0.8333 0.5000
5 Sm 0.8333 0.1667 0.5000
6 Er 0.5000 0.5000 0.5000
7 N 0.0910 0.4154 0.2461
8 N 0.2606 0.2606 0.7551
9 N 0.4154 0.0910 0.2461
10 N 0.5846 0.9090 0.7539
11 N 0.7394 0.7394 0.2449
12 N 0.9090 0.5846 0.7539

Results
Uncorrected formation energy   -1.54 eV/atom
Final energy   -8.354 eV/atom
Calculated density   8.51 g/cm3
Symmetry   C2/m
Size of the total moment   0.492 Bohr magnetons per cell